Material: HfWOF2
Method: DFT, PBE+U
State: optimized geometry

Lattice parameters (Å, degrees): 4.372 4.372 4.043 90.00 90.00 90.00
Last column: magnetic moment on the atom in μB.
Atoms (fractional coordinates):
1 Hf 0.000 0.000 0.000  0.12
2 O 0.000 0.000 0.500  0.07
3 W 0.500 0.500 0.500  4.09
4 F 0.000 0.500 0.000  0.09
5 F 0.500 0.000 0.000  0.09

## Properties
symmetry: P4/mmm, No. 123
uncorrected energy: -34.04 eV/cell
mass density: 8.9 g cm⁻³
ΔE to the lowest computed polymorph: 0.00 eV per formula unit

=====

Material: HfWOF2
Method: DFT, PBE+U
State: optimized geometry

Lattice parameters (Å, degrees): 4.310 4.310 4.249 90.00 90.00 90.00
Last column: magnetic moment on the atom in μB.
Atoms (fractional coordinates):
1 Hf 0.500 0.500 0.500  1.23
2 O 0.000 0.000 0.500  0.09
3 W 0.000 0.000 0.000  2.75
4 F 0.000 0.500 0.000  0.07
5 F 0.500 0.000 0.000  0.07

## Properties
symmetry: P4/mmm, No. 123
uncorrected energy: -30.24 eV/cell
mass density: 8.8 g cm⁻³
ΔE to the lowest computed polymorph: 3.80 eV per formula unit

=====

Respective total magnetization values: 1.1431; 1.0089 μB per atom.